(1)
Material: RbNiGeAs2
Method: DFT, PBE
State: optimized geometry

The space group is P4/mmm (No. 123) and the conventional cell measures 5.493, 5.493 and 5.505 Å, with angles of 90.00, 90.00 and 90.00 degrees. The asymmetric unit holds Rb at (0.000, 0.000, 0.000), Ni at (0.500, 0.500, 0.500), Ge at (0.000, 0.000, 0.500) and As at (0.000, 0.500, 0.000).

As for the formation energy: 2.19 eV per atom. The value obtained for the mass density is 3.67 g/cm3.

(2)
Material: Tl3Sn5Au12
Method: DFT, PBE
State: optimized geometry

The space group is Ia-3d (No. 230) and the conventional cell measures 16.245, 16.245 and 16.245 Å, with angles of 90.00, 90.00 and 90.00 degrees. The asymmetric unit holds Tl at (0.000, 0.250, 0.125), Sn at (0.000, 0.000, 0.000), Sn at (0.000, 0.250, 0.375) and Au at (0.011, 0.074, 0.653).

As for the formation energy: 0.08 eV per atom. The value obtained for the mass density is 11.06 g/cm3.

(3)
Material: MnVTc
Method: DFT, PBE
State: optimized geometry

The space group is Cmmm (No. 65) and the conventional cell measures 4.185, 12.525 and 3.000 Å, with angles of 90.00, 90.00 and 90.00 degrees. The asymmetric unit holds Mn at (0.000, 0.000, 0.000), Mn at (0.000, 0.500, 0.500), V at (0.000, 0.159, 0.500) and Tc at (0.000, 0.334, 0.000).

The relative energy among the computed polymorphs is 0.000 eV per atom. As for the formation energy: -0.17 eV per atom. The value obtained for the mass density is 8.61 g/cm3.

(4)
Material: Mg3BeRe
Method: DFT, PBE
State: optimized geometry

The space group is Pm-3m (No. 221) and the conventional cell measures 4.531, 4.531 and 4.531 Å, with angles of 90.00, 90.00 and 90.00 degrees. The asymmetric unit holds Mg at (0.000, 0.000, 0.500), Be at (0.000, 0.000, 0.000) and Re at (0.500, 0.500, 0.500).

The relative energy among the computed polymorphs is 0.000 eV per atom. As for the formation energy: 1.10 eV per atom. The value obtained for the mass density is 4.79 g/cm3.

(5)
Material: NiPtI4
Method: DFT, PBE
State: optimized geometry

The space group is P2/m (No. 10) and the conventional cell measures 6.868, 4.050 and 7.078 Å, with angles of 90.00, 91.11 and 90.00 degrees. The asymmetric unit holds Ni at (0.000, 0.000, 0.000), Pt at (0.500, 0.500, 0.000), I at (0.173, 0.500, 0.214) and I at (0.316, 0.000, 0.783).

For the uncorrected formation energy, the calculation gives 0.00 eV per atom. The value obtained for the mass density is 6.42 g/cm3.

(6)
Material: TaTi2Nb3Sn3
Method: DFT, PBE
State: optimized geometry

The space group is P-62m (No. 189) and the conventional cell measures 8.2194, 8.2194 and 2.9376 Å, with angles of 90.00, 90.00 and 120.00 degrees. The asymmetric unit holds Ta at (0.0000, 0.0000, 0.0000), Ti at (0.3333, 0.6667, 0.5000), Nb at (0.0000, 0.6833, 0.5000) and Sn at (0.0000, 0.3550, 0.0000).

As for the formation energy: 0.04 eV per atom. The value obtained for the mass density is 8.81 g/cm3.

(7)
Material: B3MoN
Method: DFT, PBE
State: optimized geometry

The space group is Pm-3m (No. 221) and the conventional cell measures 4.209, 4.209 and 4.209 Å, with angles of 90.00, 90.00 and 90.00 degrees. The asymmetric unit holds B at (0.000, 0.000, 0.500), Mo at (0.000, 0.000, 0.000) and N at (0.500, 0.500, 0.500).

The relative energy among the computed polymorphs is 1.136 eV per atom. For the uncorrected formation energy, the calculation gives 2.51 eV per atom. The value obtained for the mass density is 3.17 g/cm3.

(8)
Material: La14HoTh
Method: DFT, PBE
State: optimized geometry

The space group is P4/mmm (No. 123) and the conventional cell measures 7.374, 7.374 and 10.528 Å, with angles of 90.00, 90.00 and 90.00 degrees. The asymmetric unit holds La at (0.000, 0.000, 0.000), La at (0.000, 0.500, 0.000), La at (0.000, 0.500, 0.500), La at (0.245, 0.245, 0.255), La at (0.500, 0.500, 0.000), Ho at (0.500, 0.500, 0.500) and Th at (0.000, 0.000, 0.500).

As for the formation energy: 0.01 eV per atom. The value obtained for the mass density is 6.79 g/cm3.

(9)
Material: TaSe2Br
Method: DFT, PBE
State: optimized geometry

The space group is R-3m (No. 166, hexagonal axes) and the conventional cell measures 3.4533, 3.4533 and 27.6679 Å, with angles of 90.00, 90.00 and 120.00 degrees. The asymmetric unit holds Ta at (0.0000, 0.0000, 0.0000), Se at (0.0000, 0.0000, 0.2724) and Br at (0.0000, 0.0000, 0.5000).

The relative energy among the computed polymorphs is 0.177 eV per atom. For the uncorrected formation energy, the calculation gives -0.51 eV per atom. The value obtained for the mass density is 7.30 g/cm3.

(10)
Material: KAs2Au
Method: DFT, PBE
State: optimized geometry

The space group is Pmmm (No. 47) and the conventional cell measures 3.205, 4.238 and 7.070 Å, with angles of 90.00, 90.00 and 90.00 degrees. The asymmetric unit holds K at (0.000, 0.000, 0.000), As at (0.500, 0.500, 0.295) and Au at (0.500, 0.000, 0.500).

The relative energy among the computed polymorphs is 0.013 eV per atom. As for the formation energy: -0.15 eV per atom. The value obtained for the mass density is 6.67 g/cm3.

(11)
Material: Ho2PuZr
Method: DFT, PBE
State: optimized geometry

The space group is P4/mmm (No. 123) and the conventional cell measures 4.761, 4.761 and 4.829 Å, with angles of 90.00, 90.00 and 90.00 degrees. The asymmetric unit holds Ho at (0.000, 0.500, 0.000), Pu at (0.000, 0.000, 0.500) and Zr at (0.500, 0.500, 0.500).

The relative energy among the computed polymorphs is 0.037 eV per atom. As for the formation energy: 0.16 eV per atom. The value obtained for the mass density is 10.09 g/cm3.

(12)
Material: Tl3TeO
Method: DFT, PBE
State: optimized geometry

The space group is Pm-3m (No. 221) and the conventional cell measures 5.187, 5.187 and 5.187 Å, with angles of 90.00, 90.00 and 90.00 degrees. The asymmetric unit holds Tl at (0.000, 0.000, 0.500), Te at (0.500, 0.500, 0.500) and O at (0.000, 0.000, 0.000).

The relative energy among the computed polymorphs is 0.017 eV per atom. For the uncorrected formation energy, the calculation gives -0.29 eV per atom. The value obtained for the mass density is 9.01 g/cm3.